DFT (PBE) results for crystalline Rb3Tl4Ga2 at its relaxed geometry.

The structure in POSCAR format:
```
Rb3Tl4Ga2
1.0
-3.531 -3.694 -6.038
7.138 -5.097 -5.618
1.028 -10.302 1.140
Rb Ga Tl
6 4 8
direct
0.750 0.509 0.491
0.606 0.779 0.009
0.106 0.009 0.779
0.894 0.991 0.221
0.250 0.491 0.509
0.394 0.221 0.991
0.422 0.132 0.409
0.922 0.409 0.132
0.078 0.591 0.868
0.578 0.868 0.591
0.125 0.609 0.137
0.375 0.863 0.391
0.049 0.176 0.390
0.625 0.137 0.609
0.951 0.824 0.610
0.549 0.390 0.176
0.875 0.391 0.863
0.451 0.610 0.824
```

Summary:
crystal system: monoclinic
ΔE_f: -0.049 eV/atom
electronic total energy: -0.1541 Ry per atom

DFT (PBE) results for crystalline RbTl6Ga at its relaxed geometry.

The structure in POSCAR format:
```
RbTl6Ga
1.0
-3.888 -1.870 -3.017
-0.063 -4.437 2.833
-6.597 3.956 6.050
Tl Ga Rb
6 1 1
direct
0.500 0.500 0.845
0.500 0.000 0.668
0.000 0.500 0.332
0.000 0.500 0.668
0.500 0.500 0.155
0.500 0.000 0.332
0.000 0.000 0.500
0.000 0.000 0.000
```

Summary:
crystal system: tetragonal
ΔE_f: 0.010 eV/atom
electronic total energy: -0.1664 Ry per atom

DFT (PBE) results for crystalline RbTlGa at its relaxed geometry.

The structure in POSCAR format:
```
RbTlGa
1.0
5.719 0.000 0.000
0.000 4.853 0.000
0.000 -2.426 4.202
Tl Ga Rb
1 1 1
direct
0.167 0.333 0.667
0.166 0.000 0.000
0.667 0.667 0.333
```

Summary:
crystal system: trigonal
ΔE_f: -0.006 eV/atom
electronic total energy: -0.1563 Ry per atom
relative energy among the computed polymorphs: 72 meV/atom

DFT (PBE) results for crystalline RbTlGa2 at its relaxed geometry.

The structure in POSCAR format:
```
RbTlGa2
1.0
-0.950 -4.644 1.114
1.709 -3.580 -2.824
5.773 -2.992 3.089
Tl Ga Rb
1 2 1
direct
0.000 0.000 0.000
0.290 0.290 0.130
0.710 0.710 0.870
0.500 0.500 0.500
```

Summary:
crystal system: trigonal
ΔE_f: 0.037 eV/atom
electronic total energy: -0.1698 Ry per atom
relative energy among the computed polymorphs: 0 meV/atom

DFT (PBE) results for crystalline RbTlGa at its relaxed geometry.

The structure in POSCAR format:
```
RbTlGa
1.0
4.383 -0.629 -0.064
-1.144 7.480 1.461
0.047 -0.319 6.873
Tl Ga Rb
2 2 2
direct
0.147 0.749 0.746
0.977 0.409 0.428
0.342 0.139 0.500
0.782 0.019 0.673
0.679 0.814 0.223
0.445 0.344 0.950
```

Summary:
crystal system: triclinic
ΔE_f: -0.078 eV/atom
electronic total energy: -0.1616 Ry per atom
relative energy among the computed polymorphs: 0 meV/atom

DFT (PBE) results for crystalline RbTlGa at its relaxed geometry.

The structure in POSCAR format:
```
RbTlGa
1.0
-1.220 3.363 -1.806
-1.975 1.067 3.320
7.006 0.933 1.448
Rb Tl Ga
1 1 1
direct
0.998 0.998 0.995
0.710 0.710 0.419
0.293 0.293 0.586
```

Summary:
crystal system: tetragonal
ΔE_f: 0.027 eV/atom
electronic total energy: -0.1539 Ry per atom
relative energy among the computed polymorphs: 105 meV/atom

DFT (PBE) results for crystalline RbTl11Ga at its relaxed geometry.

The structure in POSCAR format:
```
RbTl11Ga
1.0
0.759 -2.711 5.816
7.887 -3.249 0.594
3.037 5.627 5.816
Tl Ga Rb
11 1 1
direct
0.703 0.778 0.790
0.493 0.778 0.210
0.297 0.222 0.210
0.639 0.362 0.352
0.009 0.638 0.352
0.991 0.362 0.648
0.000 0.500 0.000
0.507 0.222 0.790
0.361 0.638 0.648
0.000 0.000 0.500
0.500 0.000 0.500
0.500 0.500 0.000
0.000 0.000 0.000
```

Summary:
crystal system: monoclinic
ΔE_f: 0.001 eV/atom
electronic total energy: -0.1697 Ry per atom

DFT (PBE) results for crystalline RbTlGa2 at its relaxed geometry.

The structure in POSCAR format:
```
RbTlGa2
1.0
-5.159 1.522 -0.381
-1.162 -2.829 4.440
-1.185 7.468 7.721
Ga Tl Rb
4 2 2
direct
0.375 0.125 0.750
0.875 0.125 0.250
0.875 0.125 0.750
0.875 0.625 0.250
0.750 0.250 0.500
0.000 0.000 0.000
0.250 0.750 0.500
0.500 0.500 0.000
```

Summary:
crystal system: tetragonal
ΔE_f: 0.120 eV/atom
electronic total energy: -0.1637 Ry per atom
relative energy among the computed polymorphs: 83 meV/atom